Density functional theory data (PBE-GGA) for a relaxed structure of LiCd3Ag7.

Cell: 14.5747 14.5747 12.2875 Å, 90.00 90.00 168.31°
Closest atoms and distances in Å follow each position.
Fractional positions:
1 Li 0.0790 0.9210 0.7500  8 Ag 2.75-2.77, 2 Li 2.97, 1 Cd 3.07
2 Li 0.9210 0.0790 0.2500  8 Ag 2.75-2.77, 2 Li 2.97, 1 Cd 3.07
3 Cd 0.0676 0.9324 0.0499  8 Ag 2.87-3.04, 2 Cd 2.97
4 Cd 0.0676 0.9324 0.4501  8 Ag 2.87-3.04, 2 Cd 2.97
5 Cd 0.1849 0.8151 0.7500  8 Ag 2.87-2.95, 2 Cd 2.97, 1 Li 3.07
6 Cd 0.8151 0.1849 0.2500  8 Ag 2.87-2.95, 2 Cd 2.97, 1 Li 3.07
7 Cd 0.9324 0.0676 0.5499  8 Ag 2.87-3.04, 2 Cd 2.97
8 Cd 0.9324 0.0676 0.9501  8 Ag 2.87-3.04, 2 Cd 2.97
9 Ag 0.2768 0.7232 0.0714  5 Ag 2.77-2.97, 2 Cd 2.87
10 Ag 0.2768 0.7232 0.4286  5 Ag 2.77-2.97, 2 Cd 2.87
11 Ag 0.3748 0.6252 0.0969  2 Li 2.75, 3 Ag 2.86-2.97, 4 Cd 2.87-2.95
12 Ag 0.3748 0.6252 0.4031  2 Li 2.75, 3 Ag 2.86-2.97, 4 Cd 2.87-2.95
13 Ag 0.4335 0.5665 0.7500  4 Cd 2.87, 4 Ag 2.89-2.97
14 Ag 0.4819 0.5181 0.1258  2 Li 2.77, 4 Ag 2.89-3.05, 4 Cd 2.99-3.04
15 Ag 0.4819 0.5181 0.3742  2 Li 2.77, 4 Ag 2.89-3.05, 4 Cd 2.99-3.04
16 Ag 0.5181 0.4819 0.6258  2 Li 2.77, 4 Ag 2.89-3.05, 4 Cd 2.99-3.04
17 Ag 0.5181 0.4819 0.8742  2 Li 2.77, 4 Ag 2.89-3.05, 4 Cd 2.99-3.04
18 Ag 0.5665 0.4335 0.2500  4 Cd 2.87, 4 Ag 2.89-2.97
19 Ag 0.6252 0.3748 0.5969  2 Li 2.75, 3 Ag 2.86-2.97, 4 Cd 2.87-2.95
20 Ag 0.6252 0.3748 0.9031  2 Li 2.75, 3 Ag 2.86-2.97, 4 Cd 2.87-2.95
21 Ag 0.7232 0.2768 0.5714  5 Ag 2.77-2.97, 2 Cd 2.87
22 Ag 0.7232 0.2768 0.9286  5 Ag 2.77-2.97, 2 Cd 2.87

Values from the calculation:
* excess energy over the best structure of this formula in the dataset: 0.25 eV/f.u.
* electronic total energy: -2.15 eV/atom
* magnetization: 0.00 μB per formula unit